(1)
Density functional theory data (PBE) for a relaxed structure of PrNd2Sb.

Output
Uncorrected formation energy (eV per atom): -0.380
SG: R3m
Energy above the most stable polymorph in this dataset (eV/atom): 0.197
Magnetization (Bohr magnetons per cell): 0.1

Unit cell a=4.1410 b=4.1410 c=10.0470 alpha=78.11 beta=78.11 gamma=60.00
Last column: nearest neighbours and their distance in Å.
Positions (direct):
Pr 0.5002 0.5002 0.4995  6 Nd 3.76, 6 Pr 4.14
Nd 0.0676 0.0676 0.7973  3 Sb 3.11
Nd 0.2658 0.2658 0.2027  3 Sb 3.10
Sb 0.6665 0.6665 0.0004  6 Nd 3.10-3.11

---

(2)
Density functional theory data (PBE) for a relaxed structure of Cs6HBr2F3.

Output
E_tot (eV per cell): -40.48
SG: C2/m
Magnetization (Bohr magnetons per cell): 0.0

Unit cell a=4.5266 b=9.2449 c=10.7250 alpha=90.67 beta=102.18 gamma=90.00
Last column: nearest neighbours and their distance in Å.
Positions (direct):
Cs 0.3494 0.0440 0.6988  2 F 3.02, 1 H 3.19
Cs 0.6478 0.5422 0.2955  3 F 2.99-3.12
Cs 0.6506 0.9560 0.3012  2 F 3.02, 1 H 3.19
Cs 0.0099 0.2617 0.0197  1 F 2.82
Cs 0.9901 0.7383 0.9803  1 F 2.82
Cs 0.3522 0.4578 0.7045  3 F 2.99-3.12
H 0.5000 0.0000 0.0000  6 Cs 3.19-3.32
Br 0.8087 0.7489 0.6174  7 Cs 3.64-3.86
Br 0.1913 0.2511 0.3826  7 Cs 3.64-3.86
F 0.5000 0.5000 0.0000  6 Cs 3.12-3.17
F 0.8753 0.2530 0.7506  5 Cs 2.82-3.02
F 0.1247 0.7470 0.2494  5 Cs 2.82-3.02

---

Q: Which of these has the lowest magnetization?
A: Cs6HBr2F3

---

Q: The lowest magnetization belongs to which entry?
A: Cs6HBr2F3

---

Q: Which value of magnetization does entry 2 give?
A: 0.0 Bohr magnetons per cell

---

Q: Which of these has the lowest magnetization?
A: Cs6HBr2F3